PrNd6Y3Ho2 | the Alexandria database | GGA-PBE | relaxed; crystal system = monoclinic; magnetization = 0.00 μB/atom; total DFT energy (no corrections) = -61.80 eV/cell; formation energy from the elements = 11 meV per atom
1.0
6.303 -0.001 0.015
-3.151 5.459 0.015
-1.076 -1.863 11.759
Y Ho Nd Pr
3 2 6 1
Direct
0.167 0.833 0.500 Y
0.833 0.167 0.500 Y
0.500 0.500 0.500 Y
0.333 0.667 0.000 Ho
0.667 0.333 0.000 Ho
0.084 0.418 0.251 Nd
0.916 0.582 0.749 Nd
0.418 0.084 0.251 Nd
0.250 0.250 0.750 Nd
0.750 0.750 0.250 Nd
0.582 0.916 0.749 Nd
0.000 0.000 0.000 Pr